Record 1
! PmIn3Ag3 (GGA-PBE, optimized geometry); values from VASP
! E_form ... 0.3367 eV/atom
! Energy relative to the lowest polymorph listed for this composition ... 465 meV/atom
&SYSTEM
  ibrav = 0, nat = 14, ntyp = 3
/
ATOMIC_SPECIES
Pm 145.00 Pm.upf
In 114.82 In.upf
Ag 107.87 Ag.upf
ATOMIC_POSITIONS crystal
Pm 0.000 0.000 0.000
Pm 0.500 0.500 0.500
In 0.000 0.250 0.500
In 0.000 0.750 0.500
In 0.250 0.500 0.000
In 0.500 0.000 0.250
In 0.500 0.000 0.750
In 0.750 0.500 0.000
Ag 0.000 0.500 0.250
Ag 0.000 0.500 0.750
Ag 0.250 0.000 0.500
Ag 0.500 0.250 0.000
Ag 0.500 0.750 0.000
Ag 0.750 0.000 0.500
CELL_PARAMETERS angstrom
7.494 0.000 0.000
0.000 7.494 0.000
0.000 0.000 7.494

***

Record 2
! CdAsAu2 (GGA-PBE, optimized geometry); values from VASP
! E_form ... 0.0580 eV/atom
! Energy relative to the lowest polymorph listed for this composition ... 50 meV/atom
&SYSTEM
  ibrav = 0, nat = 4, ntyp = 3
/
ATOMIC_SPECIES
Cd 112.41 Cd.upf
As 74.92 As.upf
Au 196.97 Au.upf
ATOMIC_POSITIONS crystal
Cd 0.000 0.000 0.000
As 0.000 0.000 0.500
Au 0.500 0.500 0.255
Au 0.500 0.500 0.745
CELL_PARAMETERS angstrom
2.921 0.000 0.000
0.000 3.360 0.000
-0.021 0.000 7.871

***

Record 3
! SrMn2Se2 (GGA-PBE, optimized geometry); values from VASP
! Uncorrected formation energy ... -0.661 eV per atom
&SYSTEM
  ibrav = 0, nat = 5, ntyp = 3
/
ATOMIC_SPECIES
Sr 87.62 Sr.upf
Mn 54.94 Mn.upf
Se 78.96 Se.upf
ATOMIC_POSITIONS crystal
Sr 0.000 0.000 0.000
Mn 0.250 0.750 0.500
Mn 0.750 0.250 0.500
Se 0.374 0.374 0.000
Se 0.626 0.626 0.000
CELL_PARAMETERS angstrom
-1.999 1.999 6.715
1.999 -1.999 6.715
1.999 1.999 -6.715

***

Record 4
! Cd2CoHg (GGA-PBE, optimized geometry); values from VASP
! E_form ... 0.4955 eV/atom
&SYSTEM
  ibrav = 0, nat = 8, ntyp = 3
/
ATOMIC_SPECIES
Cd 112.41 Cd.upf
Co 58.93 Co.upf
Hg 200.59 Hg.upf
ATOMIC_POSITIONS crystal
Cd 0.108 0.625 0.983
Cd 0.375 0.358 0.483
Cd 0.642 0.125 0.017
Cd 0.875 0.892 0.517
Co 0.000 0.000 0.000
Co 0.750 0.250 0.500
Hg 0.250 0.750 0.500
Hg 0.500 0.500 0.000
CELL_PARAMETERS angstrom
-2.022 2.022 9.840
2.022 -2.022 9.840
2.022 2.022 -9.840

***

Record 5
! YCu11Si (GGA-PBE, optimized geometry); values from VASP
! Uncorrected formation energy ... -0.141 eV per atom
&SYSTEM
  ibrav = 0, nat = 13, ntyp = 3
/
ATOMIC_SPECIES
Y 88.91 Y.upf
Cu 63.55 Cu.upf
Si 28.09 Si.upf
ATOMIC_POSITIONS crystal
Y 0.000 0.000 0.000
Cu 0.000 0.000 0.500
Cu 0.000 0.500 0.000
Cu 0.007 0.652 0.646
Cu 0.286 0.507 0.777
Cu 0.348 0.993 0.354
Cu 0.493 0.714 0.223
Cu 0.500 0.000 0.000
Cu 0.507 0.286 0.777
Cu 0.652 0.007 0.646
Cu 0.714 0.493 0.223
Cu 0.993 0.348 0.354
Si 0.500 0.500 0.500
CELL_PARAMETERS angstrom
2.396 -5.994 0.000
2.396 5.994 0.000
-2.273 0.000 6.037

***

Record 6
! UAlTe (GGA-PBE, optimized geometry); values from VASP
! Uncorrected formation energy ... -0.019 eV per atom
&SYSTEM
  ibrav = 0, nat = 6, ntyp = 3
/
ATOMIC_SPECIES
U 238.03 U.upf
Al 26.98 Al.upf
Te 127.60 Te.upf
ATOMIC_POSITIONS crystal
U 0.250 0.250 0.032
U 0.750 0.750 0.968
Al 0.250 0.750 0.212
Al 0.750 0.250 0.788
Te 0.250 0.250 0.345
Te 0.750 0.750 0.655
CELL_PARAMETERS angstrom
3.027 0.000 0.000
0.000 4.843 0.000
0.000 0.000 10.713

***

Record 7
! LiInCuPd (GGA-PBE, optimized geometry); values from VASP
! E_form ... -0.3456 eV/atom
&SYSTEM
  ibrav = 0, nat = 4, ntyp = 4
/
ATOMIC_SPECIES
Li 6.94 Li.upf
In 114.82 In.upf
Cu 63.55 Cu.upf
Pd 106.42 Pd.upf
ATOMIC_POSITIONS crystal
Li 0.000 0.000 0.000
In 0.500 0.500 0.000
Cu 0.750 0.250 0.500
Pd 0.250 0.750 0.500
CELL_PARAMETERS angstrom
-2.029 2.029 3.762
2.029 -2.029 3.762
2.029 2.029 -3.762

***

Record 8
! LiHoMgZr (GGA-PBE, optimized geometry); values from VASP
! E_form ... 0.1794 eV/atom
&SYSTEM
  ibrav = 0, nat = 4, ntyp = 4
/
ATOMIC_SPECIES
Li 6.94 Li.upf
Ho 164.93 Ho.upf
Mg 24.30 Mg.upf
Zr 91.22 Zr.upf
ATOMIC_POSITIONS crystal
Li 0.000 0.000 0.000
Ho 0.250 0.250 0.250
Mg 0.500 0.500 0.500
Zr 0.750 0.750 0.750
CELL_PARAMETERS angstrom
0.000 3.587 3.587
3.587 0.000 3.587
3.587 3.587 0.000

***

Record 9
! Dy2Pu3NbN6 (GGA-PBE, optimized geometry); values from VASP
! Uncorrected formation energy ... -1.375 eV per atom
&SYSTEM
  ibrav = 0, nat = 12, ntyp = 4
/
ATOMIC_SPECIES
Dy 162.50 Dy.upf
Pu 244.00 Pu.upf
Nb 92.91 Nb.upf
N 14.01 N.upf
ATOMIC_POSITIONS crystal
Dy 0.167 0.833 0.000
Dy 0.833 0.167 0.000
Pu 0.000 0.000 0.500
Pu 0.333 0.667 0.500
Pu 0.667 0.333 0.500
Nb 0.500 0.500 0.000
N 0.104 0.419 0.757
N 0.267 0.267 0.247
N 0.419 0.104 0.757
N 0.581 0.896 0.243
N 0.733 0.733 0.753
N 0.896 0.581 0.243
CELL_PARAMETERS angstrom
2.959 -5.122 0.000
2.959 5.122 0.000
-1.969 0.000 5.526

***

Record 10
! LaPu2Sb (GGA-PBE, optimized geometry); values from VASP
! Uncorrected formation energy ... -0.427 eV per atom
&SYSTEM
  ibrav = 0, nat = 4, ntyp = 3
/
ATOMIC_SPECIES
La 138.91 La.upf
Pu 244.00 Pu.upf
Sb 121.76 Sb.upf
ATOMIC_POSITIONS crystal
La 0.000 0.000 0.000
Pu 0.000 0.500 0.500
Pu 0.500 0.000 0.500
Sb 0.500 0.500 0.000
CELL_PARAMETERS angstrom
4.727 0.000 0.000
0.000 4.727 0.000
0.000 0.000 4.944

***

Record 11
! SrTaAs (GGA-PBE, optimized geometry); values from VASP
! E_form ... -0.6310 eV/atom
! Energy relative to the lowest polymorph listed for this composition ... 0 meV/atom
&SYSTEM
  ibrav = 0, nat = 6, ntyp = 3
/
ATOMIC_SPECIES
Sr 87.62 Sr.upf
Ta 180.95 Ta.upf
As 74.92 As.upf
ATOMIC_POSITIONS crystal
Sr 0.250 0.250 0.186
Sr 0.750 0.750 0.814
Ta 0.250 0.750 0.500
Ta 0.750 0.250 0.500
As 0.250 0.250 0.681
As 0.750 0.750 0.319
CELL_PARAMETERS angstrom
3.999 0.000 0.000
0.000 3.999 0.000
0.000 0.000 10.213

***

Record 12
! Er2In3Co (GGA-PBE, optimized geometry); values from VASP
! E_form ... -0.2926 eV/atom
&SYSTEM
  ibrav = 0, nat = 6, ntyp = 3
/
ATOMIC_SPECIES
Er 167.26 Er.upf
In 114.82 In.upf
Co 58.93 Co.upf
ATOMIC_POSITIONS crystal
Er 0.000 0.000 0.000
Er 0.000 0.500 0.434
In 0.500 0.000 0.593
In 0.500 0.500 0.135
In 0.500 0.500 0.787
Co 0.500 0.000 0.271
CELL_PARAMETERS angstrom
3.560 0.000 0.000
0.000 4.744 0.000
0.000 0.000 8.194

***

| no. | E_tot (eV/f.u.) |
| --- | --- |
| 1 | -19.16 |
| 2 | -11.89 |
| 3 | -30.30 |
| 4 | -7.26 |
| 5 | -58.78 |
| 6 | -18.23 |
| 7 | -15.32 |
| 8 | -15.92 |
| 9 | -128.73 |
| 10 | -39.42 |
| 11 | -20.08 |
| 12 | -26.20 |